DFT (PBE) results for Mg2Bi2Rh after structural relaxation.

```
Mg2Bi2Rh
1.0
6.958 0.000 0.000
0.000 6.958 0.000
0.000 0.000 4.882
Bi Mg Rh
4 4 2
Cartesian
5.795 2.316 2.441
2.316 1.163 2.441
1.163 4.642 2.441
4.642 5.795 2.441
5.867 4.570 0.000
2.388 5.867 0.000
1.091 2.388 0.000
4.570 1.091 0.000
3.479 3.479 0.000
0.000 0.000 0.000
```

## Properties
final energy	-3.614	eV per atom
V	23.64	Å³ per atom
ΔE_f	0.047	eV per atom
crystal system	tetragonal
SG	P4/mbm (127)
offset from the most stable computed form	255.8	meV/atom

***

DFT (PBE) results for Mg2Bi2Rh after structural relaxation.

```
Mg2Bi2Rh
1.0
-1.498 1.506 -4.011
2.663 -3.001 -2.122
-9.584 -7.443 3.353
Mg Rh Bi
4 2 4
Cartesian
-2.861 -3.881 -2.957
-5.557 -5.057 0.177
0.275 -2.462 -1.027
-6.613 -8.729 -0.808
0.582 -0.747 -3.066
-3.169 -5.596 -0.918
-8.493 -6.293 -1.759
-2.006 -0.391 -1.965
-5.175 -5.987 -2.883
-3.243 -2.951 0.103
```

## Properties
final energy	-3.870	eV per atom
V	25.08	Å³ per atom
ΔE_f	-0.209	eV per atom
crystal system	tetragonal
SG	I4_1/amd (141)
offset from the most stable computed form	0.0	meV/atom

***

DFT (PBE) results for MgBi5Rh3 after structural relaxation.

```
MgBi5Rh3
1.0
-6.417 2.957 2.431
-1.494 -3.764 6.280
1.281 5.636 8.204
Bi Rh Mg
10 6 2
Cartesian
-3.642 3.102 10.075
-3.482 -0.330 10.110
-0.345 1.330 8.997
-4.973 0.985 3.560
-2.989 1.727 6.839
-6.286 3.499 7.917
-0.569 5.390 10.140
-3.149 5.159 6.804
-6.062 -0.561 6.774
-2.939 -1.792 5.150
-5.048 1.159 8.481
-2.359 0.772 4.366
0.000 0.000 0.000
-4.272 4.056 12.547
-1.583 3.670 8.433
0.640 2.818 4.102
-6.919 0.920 10.457
0.288 3.909 6.456
```

## Properties
final energy	-4.863	eV per atom
V	26.48	Å³ per atom
ΔE_f	-0.079	eV per atom
crystal system	monoclinic
SG	C2/m (12)

***

DFT (PBE) results for Mg4Bi5Rh2 after structural relaxation.

```
Mg4Bi5Rh2
1.0
3.377 0.000 0.000
0.000 7.854 -0.963
0.000 0.003 10.101
Bi Rh Mg
5 2 4
Cartesian
0.000 0.995 1.399
0.000 4.260 2.977
0.000 6.862 7.739
0.000 3.598 6.161
0.000 3.927 -0.481
0.000 0.726 6.399
0.000 7.131 2.739
1.689 1.665 8.230
1.689 6.192 0.908
1.689 6.526 4.807
1.689 1.332 4.331
```

## Properties
final energy	-3.915	eV per atom
V	24.36	Å³ per atom
ΔE_f	-0.235	eV per atom
crystal system	monoclinic
SG	P2/m (10)